No. 1
Tb2CeHo5: optimized geometry, PBE-GGA.

Output
Total DFT energy (no corrections) in eV per formula unit: -37.8
Formation energy in eV/atom: 0.04

Unit cell a=4.997 b=7.068 c=14.141 alpha=90.00 beta=90.00 gamma=90.00
Last column: magnetic moment on the atom in μB.
Sites, in units of the cell vectors:
Tb: 0.500 0.247 0.624  0.02
Tb: 0.500 0.753 0.376  0.02
Tb: 0.500 0.253 0.124  0.02
Tb: 0.500 0.747 0.876  0.02
Ce: 0.000 0.000 0.500  0.73
Ce: 0.000 0.500 0.000  0.73
Ho: 0.000 0.000 0.000  0.00
Ho: 0.000 0.500 0.500  0.00
Ho: 0.000 0.501 0.750  -0.01
Ho: 0.000 0.499 0.250  -0.01
Ho: 0.000 0.999 0.250  -0.01
Ho: 0.000 0.001 0.750  -0.01
Ho: 0.500 0.254 0.876  0.03
Ho: 0.500 0.746 0.124  0.03
Ho: 0.500 0.246 0.376  0.03
Ho: 0.500 0.754 0.624  0.03

---

No. 2
Sm2ErGa6: optimized geometry, PBE-GGA.

Output
Total DFT energy (no corrections) in eV per formula unit: -36.1
Formation energy in eV/atom: -0.43
Distance to the lowest polymorph of the same formula in meV/atom: 218.2

Unit cell a=4.352 b=7.028 c=7.926 alpha=116.32 beta=105.93 gamma=90.00
Sites, in units of the cell vectors:
Sm: 0.872 0.872 0.745
Sm: 0.128 0.128 0.255
Er: 0.000 0.500 0.000
Ga: 0.681 0.870 0.361
Ga: 0.319 0.130 0.639
Ga: 0.319 0.509 0.639
Ga: 0.500 0.193 0.000
Ga: 0.500 0.807 0.000
Ga: 0.681 0.491 0.361

---

No. 3
PmB2: optimized geometry, PBE-GGA.

Output
Total DFT energy (no corrections) in eV per formula unit: -18.6
Formation energy in eV/atom: -0.17
Distance to the lowest polymorph of the same formula in meV/atom: 178.7

Unit cell a=3.727 b=3.727 c=6.409 alpha=106.91 beta=106.91 gamma=90.00
Sites, in units of the cell vectors:
Pm: 0.750 0.250 0.500
Pm: 0.000 0.000 0.000
B: 0.174 0.674 0.349
B: 0.576 0.576 0.151
B: 0.326 0.826 0.651
B: 0.424 0.424 0.849

---

- Which formula does entry 3 have?
  PmB2